# TbDyNi2B2As2 (PBE, optimized geometry)
data_TbDyNi2B2As2
_chemical_formula_sum 'Tb1 Dy1 Ni2 B2 As2'
_cell_length_a 3.9473
_cell_length_b 3.9473
_cell_length_c 8.1447
_cell_angle_alpha 90.00
_cell_angle_beta 90.00
_cell_angle_gamma 90.00
_space_group_name_H-M_alt 'P 4 m m'
_space_group_IT_number 99
_space_group_name_Hall 'P 4 -2'
loop_
_atom_site_label
_atom_site_type_symbol
_atom_site_fract_x
_atom_site_fract_y
_atom_site_fract_z
Tb1 Tb 0.0000 0.0000 0.0000
Dy1 Dy 0.5000 0.5000 0.4514
Ni1 Ni 0.0000 0.5000 0.7254
B1 B 0.0000 0.0000 0.6388
B2 B 0.5000 0.5000 0.8134
As1 As 0.0000 0.0000 0.3802
As2 As 0.5000 0.5000 0.0724
# VASP energy = -48.2 eV per formula unit
# M_tot = 0.001 μB per atom
# crystal system = tetragonal
# density = 7.99 g/cm³